# CuAsPdSe2, optimized geometry, DFT PBEsol
data_CuAsPdSe2
_chemical_formula_sum 'Cu1 As1 Pd1 Se2'
_cell_length_a 4.971
_cell_length_b 4.971
_cell_length_c 4.597
_cell_angle_alpha 90.00
_cell_angle_beta 90.00
_cell_angle_gamma 90.00
_symmetry_space_group_name_H-M 'P 4/m m m'
_symmetry_Int_Tables_number 123
_symmetry_space_group_name_Hall '-P 4 2'
loop_
_atom_site_label
_atom_site_fract_x
_atom_site_fract_y
_atom_site_fract_z
Cu1 0.000 0.000 0.000
As1 0.500 0.500 0.000
Pd1 0.500 0.500 0.500
Se1 0.000 0.500 0.500
# - Formation energy without anion corrections: 72 kJ/mol of atoms